(1)
DFT (PBE) results for PuPa2Fe after structural relaxation.

a = 3.460 Å, b = 3.460 Å, c = 6.907 Å
α = 90.00°, β = 90.00°, γ = 90.00°
Each line ends with the local moment (μB).
Fractional coordinates of all 4 atoms:
Pa: 0.000 0.000 0.790  0.07
Pa: 0.000 0.000 0.210  0.07
Fe: 0.500 0.500 0.000  -0.38
Pu: 0.500 0.500 0.500  4.79

Output
Its formation energy from the elements is 0.04 eV/atom. The calculation puts the density of states at the Fermi level at 8.628 states/eV/f.u. The crystal system is tetragonal. The uncorrected energy is -41.61 eV per cell.

---

(2)
DFT (PBE) results for K2OsAu after structural relaxation.

a = 11.658 Å, b = 11.658 Å, c = 8.624 Å
α = 47.48°, β = 47.48°, γ = 90.00°
Each line ends with the local moment (μB).
Fractional coordinates of all 8 atoms:
Os: 0.500 0.500 0.000  2.05
Os: 0.250 0.750 0.500  2.04
K: 0.782 0.125 0.250  -0.01
K: 0.968 0.625 0.250  -0.01
K: 0.375 0.218 0.750  -0.01
K: 0.875 0.032 0.750  -0.01
Au: 0.000 0.000 0.000  0.13
Au: 0.750 0.250 0.500  0.13

Output
Its formation energy from the elements is 1.04 eV/atom. The calculation puts the density of states at the Fermi level at 4.296 states/eV/f.u. The crystal system is tetragonal. The uncorrected energy is -25.05 eV per cell.

---

(3)
DFT (PBE) results for DyB2Rh2 after structural relaxation.

a = 3.825 Å, b = 3.825 Å, c = 5.402 Å
α = 110.73°, β = 110.73°, γ = 90.00°
Fractional coordinates of all 5 atoms:
Dy: 0.000 0.000 0.000
B: 0.361 0.361 0.722
B: 0.639 0.639 0.278
Rh: 0.750 0.250 0.500
Rh: 0.250 0.750 0.500

Output
Its formation energy from the elements is -0.67 eV/atom. The calculation puts the density of states at the Fermi level at 0.756 states/eV/f.u. The crystal system is tetragonal. The uncorrected energy is -36.00 eV per cell.